First-principles (PBE-GGA) data for Tm3Np3TaN8 after structural relaxation, as listed in Alexandria.

abc: 6.737 6.738 6.755
angles: 119.91 90.00 120.00
Fractional positions:
Tm1 0.000 0.000 0.000
Tm2 0.000 0.500 0.000
Tm3 0.500 0.500 0.000
Np1 0.500 0.000 0.500
Np2 0.500 0.500 0.500
Np3 0.000 0.500 0.500
Ta1 0.000 0.000 0.500
N1 0.248 0.495 0.243
N2 0.752 0.505 0.757
N3 0.774 0.549 0.281
N4 0.226 0.451 0.719
N5 0.774 0.006 0.281
N6 0.226 0.994 0.719
N7 0.232 0.006 0.281
N8 0.768 0.994 0.719

Values from the calculation:
formation energy without anion corrections = -1335 meV per atom



First-principles (PBE-GGA) data for MgBiC2 after structural relaxation, as listed in Alexandria.

abc: 4.357 4.357 4.357
angles: 60.00 60.00 60.00
Fractional positions:
C1 0.250 0.250 0.250
C2 0.750 0.750 0.750
Mg1 0.000 0.000 0.000
Bi1 0.500 0.500 0.500

Values from the calculation:
ΔH_f (0 K) = 1.907 eV per atom



First-principles (PBE-GGA) data for Ba12InSi5 after structural relaxation, as listed in Alexandria.

abc: 9.923 9.923 9.923
angles: 106.87 112.63 108.96
Fractional positions:
Ba1 0.544 0.823 0.721
Ba2 0.456 0.177 0.279
Ba3 0.899 0.177 0.721
Ba4 0.101 0.823 0.279
Ba5 0.699 0.680 0.379
Ba6 0.301 0.320 0.621
Ba7 0.301 0.680 0.981
Ba8 0.699 0.320 0.019
Ba9 0.799 0.581 0.783
Ba10 0.201 0.419 0.217
Ba11 0.201 0.984 0.783
Ba12 0.799 0.016 0.217
In1 0.000 0.500 0.500
Si1 0.608 0.608 0.000
Si2 0.392 0.392 0.000
Si3 0.500 0.102 0.602
Si4 0.500 0.898 0.398
Si5 0.000 0.000 0.000

Values from the calculation:
formation energy without anion corrections = -260 meV per atom



First-principles (PBE-GGA) data for SmZn2Au7 after structural relaxation, as listed in Alexandria.

abc: 4.714 7.540 7.540
angles: 120.85 90.00 90.00
Fractional positions:
Sm1 0.000 0.000 0.000
Zn1 0.500 0.702 0.298
Zn2 0.500 0.298 0.702
Au1 0.000 0.778 0.222
Au2 0.000 0.222 0.778
Au3 0.500 0.071 0.302
Au4 0.500 0.929 0.698
Au5 0.500 0.302 0.071
Au6 0.500 0.698 0.929
Au7 0.500 0.500 0.500

Values from the calculation:
ΔH_f (0 K) = -0.187 eV per atom



First-principles (PBE-GGA) data for PmAl4Pd2 after structural relaxation, as listed in Alexandria.

abc: 4.353 6.630 17.434
angles: 90.00 90.00 90.00
Fractional positions:
Al1 0.250 0.278 0.693
Al2 0.750 0.722 0.307
Al3 0.750 0.778 0.807
Al4 0.250 0.222 0.193
Al5 0.250 0.680 0.687
Al6 0.750 0.320 0.313
Al7 0.750 0.180 0.813
Al8 0.250 0.820 0.187
Al9 0.250 0.173 0.536
Al10 0.750 0.827 0.464
Al11 0.750 0.673 0.964
Al12 0.250 0.327 0.036
Al13 0.250 0.494 0.428
Al14 0.750 0.506 0.572
Al15 0.750 0.994 0.072
Al16 0.250 0.006 0.928
Pd1 0.250 0.754 0.537
Pd2 0.750 0.246 0.463
Pd3 0.750 0.254 0.963
Pd4 0.250 0.746 0.037
Pd5 0.250 0.977 0.784
Pd6 0.750 0.023 0.216
Pd7 0.750 0.477 0.716
Pd8 0.250 0.523 0.284
Pm1 0.750 0.990 0.638
Pm2 0.250 0.010 0.362
Pm3 0.250 0.490 0.862
Pm4 0.750 0.510 0.138

Values from the calculation:
ΔH_f (0 K) = -0.758 eV per atom



First-principles (PBE-GGA) data for K5HI4 after structural relaxation, as listed in Alexandria.

abc: 7.113 8.494 8.494
angles: 79.90 65.24 65.25
Fractional positions:
K1 0.913 0.360 0.820
K2 0.273 0.820 0.640
K3 0.732 0.180 0.360
K4 0.092 0.640 0.180
K5 0.433 0.000 0.000
H1 0.048 0.000 0.000
I1 0.411 0.393 0.794
I2 0.804 0.794 0.607
I3 0.205 0.206 0.393
I4 0.598 0.607 0.206

Values from the calculation:
energy = -2.70 eV per atom



First-principles (PBE-GGA) data for BaCa3Bi2 after structural relaxation, as listed in Alexandria.

abc: 4.914 10.934 11.425
angles: 124.17 90.00 102.99
Fractional positions:
Ba1 0.880 0.761 0.899
Ba2 0.120 0.239 0.101
Ca1 0.319 0.638 0.545
Ca2 0.958 0.916 0.610
Ca3 0.616 0.232 0.712
Ca4 0.384 0.768 0.288
Ca5 0.042 0.084 0.390
Ca6 0.681 0.362 0.455
Bi1 0.498 0.996 0.820
Bi2 0.502 0.004 0.180
Bi3 0.782 0.564 0.311
Bi4 0.218 0.436 0.689

Values from the calculation:
ΔH_f (0 K) = -0.645 eV per atom



First-principles (PBE-GGA) data for ZrTcSe after structural relaxation, as listed in Alexandria.

abc: 3.513 5.209 7.244
angles: 107.45 90.99 107.91
Fractional positions:
Zr1 0.493 0.870 0.415
Zr2 0.802 0.455 0.023
Tc1 0.866 0.470 0.494
Tc2 0.158 0.229 0.256
Se1 0.167 0.214 0.700
Se2 0.513 0.889 0.014

Values from the calculation:
formation energy without anion corrections = -470 meV per atom